Record 1
A geometry-optimized PtRhPb2 structure, computed with GGA-PBE.

Cell lengths 6.590, 6.590, 6.590 Å; angles 150.41, 142.52, 48.46 degrees
Positions (direct):
Pb: 0.220 0.720 0.500
Pt: 0.558 0.558 0.000
Pb: 0.959 0.959 0.000
Rh: 0.763 0.263 0.500

Properties
excess energy over the best structure of this formula in the dataset = 11.5 kJ per mole of atoms


Record 2
A geometry-optimized Pt2RhPb structure, computed with GGA-PBE.

Cell lengths 4.875, 3.143, 4.632 Å; angles 89.02, 90.00, 90.00 degrees
Positions (direct):
Pt: 0.000 0.233 0.740
Rh: 0.500 0.000 0.500
Pb: 0.500 0.500 0.000
Pt: 0.000 0.767 0.260


no.,VASP energy (eV per atom),magnetization (μB per formula unit),ΔE_f (eV per atom)
1,-5.167,0.000,0.035
2,-5.689,0.000,0.096